[1]
# YLuThAl

A relaxed structure of YLuThAl (PBE-GGA, Alexandria).

Cell lengths 5.3575, 5.3575, 5.3575 Å; angles 60.00, 60.00, 60.00 degrees
Positions (direct):
Y: 0.0000 0.0000 0.0000
Lu: 0.7500 0.7500 0.7500
Th: 0.5000 0.5000 0.5000
Al: 0.2500 0.2500 0.2500

Properties
Total magnetic moment: 0.00 μB/cell
Calculated density: 7.99 Mg/m³
Energy of formation from the pure elements: -0.046 eV/atom

[2]
# LuThAlZn

A relaxed structure of LuThAlZn (PBE-GGA, Alexandria).

Cell lengths 5.1093, 5.1093, 5.1093 Å; angles 60.00, 60.00, 60.00 degrees
Positions (direct):
Lu: 0.0000 0.0000 0.0000
Th: 0.5000 0.5000 0.5000
Al: 0.7500 0.7500 0.7500
Zn: 0.2500 0.2500 0.2500

Properties
Total magnetic moment: 0.00 μB/cell
Calculated density: 8.79 Mg/m³
Energy of formation from the pure elements: -0.291 eV/atom

[3]
# LuTiAl4

A relaxed structure of LuTiAl4 (PBE-GGA, Alexandria).

Cell lengths 5.3207, 5.3207, 5.3207 Å; angles 60.00, 60.00, 60.00 degrees
Positions (direct):
Lu: 0.0000 0.0000 0.0000
Ti: 0.7500 0.7500 0.7500
Al: 0.3753 0.3753 0.3753
Al: 0.3753 0.3753 0.8742
Al: 0.3753 0.8742 0.3753
Al: 0.8742 0.3753 0.3753

Properties
Total magnetic moment: 0.00 μB/cell
Calculated density: 5.16 Mg/m³
Energy of formation from the pure elements: -0.386 eV/atom

[4]
# Lu6Ti4Al43

A relaxed structure of Lu6Ti4Al43 (PBE-GGA, Alexandria).

Cell lengths 11.0479, 11.0479, 17.6347 Å; angles 90.00, 90.00, 120.00 degrees
Positions (direct):
Lu: 0.0000 0.4708 0.0964
Lu: 0.0000 0.4708 0.4036
Lu: 0.0000 0.5292 0.5964
Lu: 0.0000 0.5292 0.9036
Lu: 0.4708 0.0000 0.0964
Lu: 0.4708 0.0000 0.4036
Lu: 0.4708 0.4708 0.5964
Lu: 0.4708 0.4708 0.9036
Lu: 0.5292 0.0000 0.5964
Lu: 0.5292 0.0000 0.9036
Lu: 0.5292 0.5292 0.0964
Lu: 0.5292 0.5292 0.4036
Ti: 0.0000 0.0000 0.0000
Ti: 0.0000 0.0000 0.5000
Ti: 0.0000 0.2730 0.2500
Ti: 0.0000 0.7270 0.7500
Ti: 0.2730 0.0000 0.2500
Ti: 0.2730 0.2730 0.7500
Ti: 0.7270 0.0000 0.7500
Ti: 0.7270 0.7270 0.2500
Al: 0.0000 0.1479 0.7500
Al: 0.0000 0.1559 0.1162
Al: 0.0000 0.1559 0.3838
Al: 0.0000 0.2542 0.5284
Al: 0.0000 0.2542 0.9716
Al: 0.0000 0.7458 0.0284
Al: 0.0000 0.7458 0.4716
Al: 0.0000 0.8441 0.6162
Al: 0.0000 0.8441 0.8838
Al: 0.0000 0.8521 0.2500
Al: 0.1479 0.0000 0.7500
Al: 0.1479 0.1479 0.2500
Al: 0.1485 0.5534 0.2500
Al: 0.1485 0.5951 0.7500
Al: 0.1559 0.0000 0.1162
Al: 0.1559 0.0000 0.3838
Al: 0.1559 0.1559 0.6162
Al: 0.1559 0.1559 0.8838
Al: 0.1600 0.3944 0.6623
Al: 0.1600 0.3944 0.8377
Al: 0.1600 0.7655 0.1623
Al: 0.1600 0.7655 0.3377
Al: 0.2345 0.3944 0.1623
Al: 0.2345 0.3944 0.3377
Al: 0.2345 0.8400 0.6623
Al: 0.2345 0.8400 0.8377
Al: 0.2469 0.4938 0.0000
Al: 0.2469 0.4938 0.5000
Al: 0.2469 0.7531 0.0000
Al: 0.2469 0.7531 0.5000
Al: 0.2542 0.0000 0.5284
Al: 0.2542 0.0000 0.9716
Al: 0.2542 0.2542 0.0284
Al: 0.2542 0.2542 0.4716
Al: 0.3333 0.6667 0.1252
Al: 0.3333 0.6667 0.3748
Al: 0.3333 0.6667 0.6252
Al: 0.3333 0.6667 0.8748
Al: 0.3944 0.1600 0.6623
Al: 0.3944 0.1600 0.8377
Al: 0.3944 0.2345 0.1623
Al: 0.3944 0.2345 0.3377
Al: 0.4049 0.5534 0.7500
Al: 0.4049 0.8515 0.2500
Al: 0.4466 0.5951 0.2500
Al: 0.4466 0.8515 0.7500
Al: 0.4938 0.2469 0.0000
Al: 0.4938 0.2469 0.5000
Al: 0.5062 0.7531 0.0000
Al: 0.5062 0.7531 0.5000
Al: 0.5534 0.1485 0.2500
Al: 0.5534 0.4049 0.7500
Al: 0.5951 0.1485 0.7500
Al: 0.5951 0.4466 0.2500
Al: 0.6056 0.7655 0.6623
Al: 0.6056 0.7655 0.8377
Al: 0.6056 0.8400 0.1623
Al: 0.6056 0.8400 0.3377
Al: 0.6667 0.3333 0.1252
Al: 0.6667 0.3333 0.3748
Al: 0.6667 0.3333 0.6252
Al: 0.6667 0.3333 0.8748
Al: 0.7458 0.0000 0.0284
Al: 0.7458 0.0000 0.4716
Al: 0.7458 0.7458 0.5284
Al: 0.7458 0.7458 0.9716
Al: 0.7531 0.2469 0.0000
Al: 0.7531 0.2469 0.5000
Al: 0.7531 0.5062 0.0000
Al: 0.7531 0.5062 0.5000
Al: 0.7655 0.1600 0.1623
Al: 0.7655 0.1600 0.3377
Al: 0.7655 0.6056 0.6623
Al: 0.7655 0.6056 0.8377
Al: 0.8400 0.2345 0.6623
Al: 0.8400 0.2345 0.8377
Al: 0.8400 0.6056 0.1623
Al: 0.8400 0.6056 0.3377
Al: 0.8441 0.0000 0.6162
Al: 0.8441 0.0000 0.8838
Al: 0.8441 0.8441 0.1162
Al: 0.8441 0.8441 0.3838
Al: 0.8521 0.0000 0.2500
Al: 0.8515 0.4049 0.2500
Al: 0.8515 0.4466 0.7500
Al: 0.8521 0.8521 0.7500

Properties
Total magnetic moment: 0.00 μB/cell
Calculated density: 4.28 Mg/m³
Energy of formation from the pure elements: -0.318 eV/atom

[5]
# LuTiAl

A relaxed structure of LuTiAl (PBE-GGA, Alexandria).

Cell lengths 4.8491, 4.8491, 2.9343 Å; angles 90.00, 90.00, 120.00 degrees
Positions (direct):
Lu: 0.0000 0.0000 0.0000
Ti: 0.3333 0.6667 0.0000
Al: 0.6667 0.3333 0.5000

Properties
Total magnetic moment: 1.44 μB/cell
Calculated density: 6.94 Mg/m³
Energy of formation from the pure elements: 0.044 eV/atom

[6]
# LuZrTiAl

A relaxed structure of LuZrTiAl (PBE-GGA, Alexandria).

Cell lengths 4.9401, 4.9401, 4.9401 Å; angles 60.00, 60.00, 60.00 degrees
Positions (direct):
Lu: 0.0000 0.0000 0.0000
Zr: 0.5000 0.5000 0.5000
Ti: 0.2500 0.2500 0.2500
Al: 0.7500 0.7500 0.7500

Properties
Total magnetic moment: 2.93 μB/cell
Calculated density: 6.64 Mg/m³
Energy of formation from the pure elements: -0.098 eV/atom

Q: Look up the calculated density of the third one.
A: 5.16 Mg/m³

Q: What is the calculated density in the fifth record?
A: 6.94 Mg/m³

Repeat the second record exactly.
# LuThAlZn

A relaxed structure of LuThAlZn (PBE-GGA, Alexandria).

Cell lengths 5.1093, 5.1093, 5.1093 Å; angles 60.00, 60.00, 60.00 degrees
Positions (direct):
Lu: 0.0000 0.0000 0.0000
Th: 0.5000 0.5000 0.5000
Al: 0.7500 0.7500 0.7500
Zn: 0.2500 0.2500 0.2500

Properties
Total magnetic moment: 0.00 μB/cell
Calculated density: 8.79 Mg/m³
Energy of formation from the pure elements: -0.291 eV/atom

Q: What is the formula in the fifth record?
A: LuTiAl